! PmYTm6 | Alexandria | PBE-GGA | relaxed; values from VASP
! Space-group type: Cmmm
! N(E_F): 2.08 states/eV per atom
! Excess energy over the best structure of this formula in the dataset: 0.000 eV per atom
! E_form: 0.128 eV per atom
&SYSTEM
  ibrav = 0, nat = 8, ntyp = 3
/
ATOMIC_SPECIES
Pm 145.00 Pm.upf
Y 88.91 Y.upf
Tm 168.93 Tm.upf
ATOMIC_POSITIONS angstrom
Pm 2.903 2.885 2.301
Y 2.903 0.000 0.000
Tm 2.903 -0.370 3.424
Tm 2.903 3.256 -1.122
Tm 0.000 1.412 1.126
Tm 0.000 4.359 3.477
Tm 0.000 4.679 0.053
Tm 0.000 1.092 4.550
CELL_PARAMETERS angstrom
5.806 0.000 0.000
0.000 6.511 -2.244
0.000 -0.740 6.847